Material: Tb6Pr2SmTm3
Method: DFT, PBE
State: relaxed

For the density of states at the Fermi level, the calculation gives 16.158 states/eV/f.u. Its symmetry is No. 12.

Unit cell a=6.192 b=6.192 c=11.836 alpha=94.99 beta=94.99 gamma=119.97
Element x y z (fractional)
Tb  0.581  0.914  0.745
Tb  0.086  0.419  0.255
Tb  0.914  0.581  0.745
Tb  0.419  0.086  0.255
Tb  0.753  0.753  0.256
Tb  0.247  0.247  0.744
Sm  0.000  0.000  0.000
Pr  0.333  0.667  0.000
Pr  0.667  0.333  0.000
Tm  0.500  0.500  0.500
Tm  0.833  0.167  0.500
Tm  0.167  0.833  0.500


Material: Tb2Pr3SmTm6
Method: DFT, PBE
State: relaxed

For the density of states at the Fermi level, the calculation gives 13.646 states/eV/f.u. Its symmetry is No. 12.

Unit cell a=6.196 b=6.196 c=11.713 alpha=95.04 beta=95.04 gamma=119.98
Element x y z (fractional)
Tm  0.749  0.749  0.247
Tm  0.251  0.251  0.753
Tm  0.584  0.918  0.753
Tm  0.918  0.584  0.753
Tm  0.416  0.082  0.247
Tm  0.082  0.416  0.247
Pr  0.167  0.833  0.500
Pr  0.833  0.167  0.500
Pr  0.500  0.500  0.500
Sm  0.000  0.000  0.000
Tb  0.333  0.667  0.000
Tb  0.667  0.333  0.000


Material: TbPr2SmTm2
Method: DFT, PBE
State: relaxed

For the density of states at the Fermi level, the calculation gives 8.675 states/eV/f.u. Its symmetry is No. 26.

Unit cell a=5.684 b=6.971 c=10.018 alpha=90.00 beta=90.00 gamma=90.00
Element x y z (fractional)
Pr  0.000  0.795  0.809
Pr  0.500  0.033  0.019
Pr  0.000  0.295  0.191
Pr  0.500  0.533  0.981
Tm  0.000  0.787  0.144
Tm  0.500  0.229  0.360
Tm  0.000  0.287  0.856
Tm  0.500  0.729  0.640
Sm  0.500  0.720  0.317
Sm  0.500  0.220  0.683
Tb  0.000  0.982  0.484
Tb  0.000  0.482  0.516


Material: Tb6PrSm2Tm
Method: DFT, PBE
State: relaxed

For the density of states at the Fermi level, the calculation gives 13.874 states/eV/f.u. Its symmetry is No. 15.

Unit cell a=9.666 b=8.821 c=8.821 alpha=117.86 beta=94.05 gamma=94.05
Element x y z (fractional)
Pr  0.750  0.021  0.979
Pr  0.250  0.979  0.021
Tb  0.557  0.746  0.124
Tb  0.943  0.876  0.254
Tb  0.314  0.983  0.431
Tb  0.443  0.254  0.876
Tb  0.057  0.124  0.746
Tb  0.119  0.706  0.492
Tb  0.686  0.017  0.569
Tb  0.619  0.492  0.706
Tb  0.381  0.508  0.294
Tb  0.881  0.294  0.508
Tb  0.186  0.569  0.017
Tb  0.814  0.431  0.983
Tm  0.250  0.409  0.591
Tm  0.750  0.591  0.409
Sm  0.545  0.199  0.301
Sm  0.455  0.801  0.699
Sm  0.955  0.699  0.801
Sm  0.045  0.301  0.199


Material: Tb5PrSmTm2
Method: DFT, PBE
State: relaxed

For the density of states at the Fermi level, the calculation gives 14.096 states/eV/f.u. Its symmetry is No. 36.

Unit cell a=5.624 b=10.371 c=10.560 alpha=90.00 beta=90.00 gamma=105.73
Element x y z (fractional)
Tm  0.111  0.223  0.735
Tm  0.114  0.229  0.321
Tm  0.889  0.777  0.235
Tm  0.886  0.771  0.821
Tb  0.719  0.439  0.812
Tb  0.390  0.780  0.025
Tb  0.702  0.403  0.209
Tb  0.477  0.955  0.737
Tb  0.523  0.045  0.237
Tb  0.983  0.966  0.525
Tb  0.281  0.561  0.312
Tb  0.017  0.034  0.025
Tb  0.298  0.597  0.709
Tb  0.610  0.220  0.525
Sm  0.800  0.600  0.513
Sm  0.200  0.400  0.013
Pr  0.584  0.168  0.948
Pr  0.416  0.832  0.448


Material: Tb2PrSm4Tm
Method: DFT, PBE
State: relaxed

For the density of states at the Fermi level, the calculation gives 11.378 states/eV/f.u. Its symmetry is No. 10.

Unit cell a=3.612 b=6.229 c=11.952 alpha=79.87 beta=90.00 gamma=90.00
Element x y z (fractional)
Sm  0.000  0.751  0.746
Sm  0.000  0.249  0.254
Sm  0.500  0.750  0.253
Sm  0.500  0.250  0.747
Tb  0.000  0.000  0.000
Tb  0.500  0.000  0.500
Tm  0.000  0.500  0.500
Pr  0.500  0.500  0.000


Material: Tb3Pr2Sm6Tm
Method: DFT, PBE
State: relaxed

For the density of states at the Fermi level, the calculation gives 15.935 states/eV/f.u. Its symmetry is No. 12.

Unit cell a=6.259 b=6.259 c=11.986 alpha=94.99 beta=94.99 gamma=119.98
Element x y z (fractional)
Pr  0.333  0.667  0.000
Pr  0.667  0.333  0.000
Sm  0.248  0.248  0.747
Sm  0.084  0.416  0.252
Sm  0.416  0.084  0.252
Sm  0.584  0.916  0.748
Sm  0.752  0.752  0.253
Sm  0.916  0.584  0.748
Tb  0.500  0.500  0.500
Tb  0.834  0.166  0.500
Tb  0.166  0.834  0.500
Tm  0.000  0.000  0.000


Material: Tb5PrSm2Tm
Method: DFT, PBE
State: relaxed

For the density of states at the Fermi level, the calculation gives 10.942 states/eV/f.u. Its symmetry is No. 140.

Unit cell a=8.831 b=8.831 c=9.863 alpha=116.60 beta=116.60 gamma=90.00
Element x y z (fractional)
Tb  0.344  0.844  0.272
Tb  0.844  0.928  0.272
Tb  0.428  0.344  0.272
Tb  0.000  0.000  0.000
Tb  0.156  0.072  0.728
Tb  0.500  0.500  0.000
Tb  0.572  0.656  0.728
Tb  0.928  0.428  0.272
Tb  0.656  0.156  0.728
Tb  0.072  0.572  0.728
Tm  0.750  0.250  0.500
Tm  0.250  0.750  0.500
Sm  0.615  0.115  0.000
Sm  0.385  0.885  0.000
Sm  0.115  0.385  0.000
Sm  0.885  0.615  0.000
Pr  0.250  0.250  0.500
Pr  0.750  0.750  0.500


Material: TbPr2Sm5Tm
Method: DFT, PBE
State: relaxed

For the density of states at the Fermi level, the calculation gives 13.155 states/eV/f.u. Its symmetry is No. 140.

Unit cell a=8.646 b=8.646 c=10.234 alpha=114.99 beta=114.99 gamma=90.00
Element x y z (fractional)
Sm  0.074  0.574  0.714
Sm  0.426  0.360  0.286
Sm  0.860  0.926  0.286
Sm  0.000  0.000  0.000
Sm  0.360  0.860  0.286
Sm  0.926  0.426  0.286
Sm  0.574  0.640  0.714
Sm  0.640  0.140  0.714
Sm  0.500  0.500  0.000
Sm  0.140  0.074  0.714
Pr  0.621  0.121  0.000
Pr  0.879  0.621  0.000
Pr  0.379  0.879  0.000
Pr  0.121  0.379  0.000
Tm  0.250  0.750  0.500
Tm  0.750  0.250  0.500
Tb  0.250  0.250  0.500
Tb  0.750  0.750  0.500


Material: TbPrSm2Tm2
Method: DFT, PBE
State: relaxed

For the density of states at the Fermi level, the calculation gives 9.984 states/eV/f.u. Its symmetry is No. 58.

Unit cell a=3.412 b=6.515 c=18.132 alpha=90.00 beta=90.00 gamma=90.00
Element x y z (fractional)
Tb  0.000  0.000  0.500
Tb  0.500  0.500  0.000
Sm  0.500  0.283  0.690
Sm  0.500  0.717  0.310
Sm  0.000  0.217  0.190
Sm  0.000  0.783  0.810
Tm  0.000  0.286  0.854
Tm  0.500  0.214  0.354
Tm  0.500  0.786  0.646
Tm  0.000  0.714  0.146
Pr  0.500  0.500  0.500
Pr  0.000  0.000  0.000


Material: Tb2PrSm6Tm
Method: DFT, PBE
State: relaxed

For the density of states at the Fermi level, the calculation gives 13.774 states/eV/f.u. Its symmetry is No. 15.

Unit cell a=9.639 b=8.909 c=8.909 alpha=117.60 beta=93.59 gamma=93.59
Element x y z (fractional)
Sm  0.314  0.989  0.436
Sm  0.555  0.755  0.121
Sm  0.618  0.490  0.708
Sm  0.382  0.510  0.292
Sm  0.814  0.436  0.989
Sm  0.055  0.121  0.755
Sm  0.445  0.245  0.879
Sm  0.945  0.879  0.245
Sm  0.118  0.708  0.490
Sm  0.882  0.292  0.510
Sm  0.686  0.011  0.564
Sm  0.186  0.564  0.011
Pr  0.750  0.025  0.975
Pr  0.250  0.975  0.025
Tb  0.547  0.202  0.304
Tb  0.047  0.304  0.202
Tb  0.453  0.798  0.696
Tb  0.953  0.696  0.798
Tm  0.250  0.411  0.589
Tm  0.750  0.589  0.411


Material: Tb2PrSmTm2
Method: DFT, PBE
State: relaxed

For the density of states at the Fermi level, the calculation gives 9.561 states/eV/f.u. Its symmetry is No. 58.

Unit cell a=3.407 b=6.524 c=17.972 alpha=90.00 beta=90.00 gamma=90.00
Element x y z (fractional)
Tb  0.500  0.280  0.311
Tb  0.500  0.720  0.689
Tb  0.000  0.220  0.811
Tb  0.000  0.780  0.189
Pr  0.000  0.000  0.000
Pr  0.500  0.500  0.500
Tm  0.000  0.282  0.148
Tm  0.500  0.218  0.648
Tm  0.000  0.718  0.852
Tm  0.500  0.782  0.352
Sm  0.500  0.500  0.000
Sm  0.000  0.000  0.500


Material: Tb2PrSm6Tm3
Method: DFT, PBE
State: relaxed

For the density of states at the Fermi level, the calculation gives 14.807 states/eV/f.u. Its symmetry is No. 12.

Unit cell a=6.223 b=6.223 c=11.850 alpha=95.01 beta=95.01 gamma=119.99
Element x y z (fractional)
Tm  0.167  0.833  0.500
Tm  0.500  0.500  0.500
Tm  0.833  0.167  0.500
Tb  0.667  0.333  0.000
Tb  0.333  0.667  0.000
Sm  0.751  0.751  0.254
Sm  0.581  0.915  0.746
Sm  0.419  0.085  0.254
Sm  0.915  0.581  0.746
Sm  0.085  0.419  0.254
Sm  0.249  0.249  0.746
Pr  0.000  0.000  0.000


Material: TbPrSm5Tm2
Method: DFT, PBE
State: relaxed

For the density of states at the Fermi level, the calculation gives 13.902 states/eV/f.u. Its symmetry is No. 36.

Unit cell a=5.638 b=10.470 c=10.729 alpha=90.00 beta=90.00 gamma=105.62
Element x y z (fractional)
Tb  0.413  0.826  0.454
Tb  0.587  0.174  0.954
Sm  0.522  0.044  0.240
Sm  0.718  0.435  0.807
Sm  0.298  0.595  0.704
Sm  0.607  0.213  0.526
Sm  0.702  0.405  0.204
Sm  0.393  0.787  0.026
Sm  0.017  0.034  0.025
Sm  0.478  0.956  0.740
Sm  0.983  0.966  0.525
Sm  0.282  0.565  0.307
Tm  0.884  0.768  0.820
Tm  0.891  0.782  0.238
Tm  0.109  0.218  0.738
Tm  0.116  0.232  0.320
Pr  0.798  0.595  0.509
Pr  0.202  0.405  0.009


Material: Tb5Pr2SmTm
Method: DFT, PBE
State: relaxed

For the density of states at the Fermi level, the calculation gives 11.858 states/eV/f.u. Its symmetry is No. 140.

Unit cell a=8.689 b=8.689 c=10.025 alpha=115.68 beta=115.68 gamma=90.00
Element x y z (fractional)
Tb  0.072  0.572  0.719
Tb  0.500  0.500  0.000
Tb  0.853  0.928  0.281
Tb  0.353  0.853  0.281
Tb  0.000  0.000  0.000
Tb  0.647  0.147  0.719
Tb  0.572  0.647  0.719
Tb  0.147  0.072  0.719
Tb  0.428  0.353  0.281
Tb  0.928  0.428  0.281
Sm  0.250  0.250  0.500
Sm  0.750  0.750  0.500
Pr  0.881  0.619  0.000
Pr  0.119  0.381  0.000
Pr  0.381  0.881  0.000
Pr  0.619  0.119  0.000
Tm  0.250  0.750  0.500
Tm  0.750  0.250  0.500


Material: Tb2PrSm2Tm2
Method: DFT, PBE
State: relaxed

For the density of states at the Fermi level, the calculation gives 9.212 states/eV/f.u. Its symmetry is No. 12.

Unit cell a=5.066 b=6.184 c=8.027 alpha=97.39 beta=90.00 gamma=114.18
Element x y z (fractional)
Sm  0.428  0.856  0.285
Sm  0.572  0.144  0.715
Tb  0.857  0.714  0.569
Tb  0.143  0.286  0.431
Tm  0.714  0.429  0.144
Tm  0.286  0.571  0.856
Pr  0.000  0.000  0.000


Material: Tb6Pr3Sm2Tm
Method: DFT, PBE
State: relaxed

For the density of states at the Fermi level, the calculation gives 15.570 states/eV/f.u. Its symmetry is No. 12.

Unit cell a=6.248 b=6.248 c=11.920 alpha=95.00 beta=95.00 gamma=119.99
Element x y z (fractional)
Tb  0.750  0.750  0.247
Tb  0.415  0.082  0.247
Tb  0.082  0.415  0.247
Tb  0.585  0.918  0.753
Tb  0.918  0.585  0.753
Tb  0.250  0.250  0.753
Pr  0.500  0.500  0.500
Pr  0.833  0.167  0.500
Pr  0.167  0.833  0.500
Sm  0.334  0.666  0.000
Sm  0.666  0.334  0.000
Tm  0.000  0.000  0.000


Material: Tb6Pr2Sm3Tm
Method: DFT, PBE
State: relaxed

For the density of states at the Fermi level, the calculation gives 14.874 states/eV/f.u. Its symmetry is No. 12.

Unit cell a=6.229 b=6.229 c=11.914 alpha=94.99 beta=94.99 gamma=119.97
Element x y z (fractional)
Tm  0.000  0.000  0.000
Tb  0.585  0.917  0.750
Tb  0.752  0.752  0.251
Tb  0.415  0.083  0.250
Tb  0.083  0.415  0.250
Tb  0.917  0.585  0.750
Tb  0.248  0.248  0.749
Sm  0.833  0.167  0.500
Sm  0.500  0.500  0.500
Sm  0.167  0.833  0.500
Pr  0.666  0.334  0.000
Pr  0.334  0.666  0.000


Material: Tb2Pr4SmTm
Method: DFT, PBE
State: relaxed

For the density of states at the Fermi level, the calculation gives 10.588 states/eV/f.u. Its symmetry is No. 47.

Unit cell a=5.188 b=5.157 c=11.392 alpha=63.05 beta=90.00 gamma=90.00
Element x y z (fractional)
Tb  0.000  0.000  0.000
Tb  0.500  0.000  0.500
Sm  0.500  0.500  0.000
Pr  0.000  0.248  0.252
Pr  0.000  0.752  0.748
Pr  0.500  0.748  0.252
Pr  0.500  0.252  0.748
Tm  0.000  0.500  0.500


| no. | calculated volume (Å³/f.u.) | formation energy (eV/atom) | total magnetization (μB/f.u.) |
| --- | --- | --- | --- |
| 1 | 387 | 0.021 | 0.00 |
| 2 | 383 | 0.021 | 0.00 |
| 3 | 198 | 0.075 | 0.00 |
| 4 | 329 | 0.116 | 0.00 |
| 5 | 296 | 0.161 | 0.00 |
| 6 | 265 | 0.019 | 0.00 |
| 7 | 400 | 0.015 | 0.00 |
| 8 | 298 | 0.277 | 0.00 |
| 9 | 307 | 0.273 | 0.00 |
| 10 | 202 | 0.270 | 0.00 |
| 11 | 337 | 0.116 | 0.00 |
| 12 | 200 | 0.278 | 0.00 |
| 13 | 391 | 0.018 | 0.00 |
| 14 | 305 | 0.152 | 0.00 |
| 15 | 299 | 0.271 | 0.00 |
| 16 | 227 | 0.019 | 0.00 |
| 17 | 397 | 0.016 | 0.00 |
| 18 | 394 | 0.014 | 0.00 |
| 19 | 272 | 0.015 | 0.00 |